{
  "formula": "Ce2ZrS3",
  "functional": "GGA-PBE",
  "state": "relaxed",
  "e_form_raw_ev_per_fu": -10.79,
  "mass_density_g_cm3": 6.136,
  "magmom_total_mub_per_cell": 0.0,
  "final_energy_ev_per_atom": -7.26,
  "lattice": [[-1.9616, 1.9616, 8.2228], [1.9616, -1.9616, 8.2228], [1.9616, 1.9616, -8.2228]],
  "species": ["Ce", "Ce", "Zr", "S", "S", "S"],
  "frac_coords": [[0.1653, 0.1653, 0.0000], [0.8347, 0.8347, 0.0000], [0.5000, 0.5000, 0.0000], [0.0000, 0.0000, 0.0000], [0.3389, 0.3389, 0.0000], [0.6611, 0.6611, 0.0000]]
}

=====

{
  "formula": "Ce5Zr2S12",
  "functional": "GGA-PBE",
  "state": "relaxed",
  "e_form_raw_ev_per_fu": -34.70,
  "mass_density_g_cm3": 4.396,
  "magmom_total_mub_per_cell": 3.1,
  "final_energy_ev_per_atom": -6.89,
  "lattice": [[7.7832, -3.6022, 0.0000], [7.7832, 3.6022, 0.0000], [-2.6408, 0.0000, 8.5408]],
  "species": ["Ce", "Ce", "Ce", "Ce", "Ce", "Zr", "Zr", "S", "S", "S", "S", "S", "S", "S", "S", "S", "S", "S", "S"],
  "frac_coords": [[0.0000, 0.0000, 0.0000], [0.2995, 0.2995, 0.1454], [0.3135, 0.3135, 0.6633], [0.6865, 0.6865, 0.3367], [0.7005, 0.7005, 0.8546], [0.2498, 0.7502, 0.5000], [0.7502, 0.2498, 0.5000], [0.0049, 0.0049, 0.3055], [0.0899, 0.5671, 0.4097], [0.0997, 0.5997, 0.9317], [0.4003, 0.9003, 0.0683], [0.4329, 0.9101, 0.5903], [0.4970, 0.4970, 0.2887], [0.5030, 0.5030, 0.7113], [0.5671, 0.0899, 0.4097], [0.5997, 0.0997, 0.9317], [0.9003, 0.4003, 0.0683], [0.9101, 0.4329, 0.5903], [0.9951, 0.9951, 0.6945]]
}

=====

{
  "formula": "Ce2Sb3",
  "functional": "GGA-PBE",
  "state": "relaxed",
  "e_form_raw_ev_per_fu": -3.73,
  "de_polymorph_kj_per_mol_fu": 0.0,
  "mass_density_g_cm3": 7.440,
  "magmom_total_mub_per_cell": 1.1,
  "final_energy_ev_per_atom": -5.59,
  "lattice": [[-2.0925, 2.0925, 8.2256], [2.0925, -2.0925, 8.2256], [2.0925, 2.0925, -8.2256]],
  "species": ["Ce", "Ce", "Sb", "Sb", "Sb"],
  "frac_coords": [[0.1098, 0.1098, 0.0000], [0.8902, 0.8902, 0.0000], [0.3158, 0.3158, 0.0000], [0.5000, 0.5000, 0.0000], [0.6842, 0.6842, 0.0000]]
}

=====

{
  "formula": "CeSb4",
  "functional": "GGA-PBE",
  "state": "relaxed",
  "e_form_raw_ev_per_fu": 3.01,
  "mass_density_g_cm3": 5.210,
  "magmom_total_mub_per_cell": 0.0,
  "final_energy_ev_per_atom": -3.88,
  "lattice": [[5.8468, 0.0000, 0.0000], [0.0000, 5.8468, 0.0000], [0.0000, 0.0000, 5.8468]],
  "species": ["Ce", "Sb", "Sb", "Sb", "Sb"],
  "frac_coords": [[0.0000, 0.0000, 0.0000], [0.0000, 0.0000, 0.5000], [0.0000, 0.5000, 0.0000], [0.5000, 0.0000, 0.0000], [0.5000, 0.5000, 0.5000]]
}

=====

{
  "formula": "CeSb",
  "functional": "GGA-PBE",
  "state": "relaxed",
  "e_form_raw_ev_per_fu": -1.71,
  "mass_density_g_cm3": 7.778,
  "magmom_total_mub_per_cell": 1.1,
  "final_energy_ev_per_atom": -5.89,
  "lattice": [[4.0789, 0.0000, 0.0000], [0.0000, 4.0789, 0.0000], [0.0000, 0.0000, 3.3603]],
  "species": ["Ce", "Sb"],
  "frac_coords": [[0.0000, 0.0000, 0.0000], [0.5000, 0.5000, 0.5000]]
}

=====

{
  "formula": "CeSb3",
  "functional": "GGA-PBE",
  "state": "relaxed",
  "e_form_raw_ev_per_fu": -2.20,
  "mass_density_g_cm3": 7.818,
  "magmom_total_mub_per_cell": 0.1,
  "final_energy_ev_per_atom": -5.13,
  "lattice": [[4.6660, 0.0000, 0.0000], [0.0000, 4.7812, 0.0000], [0.0000, 0.0000, 4.8117]],
  "species": ["Ce", "Sb", "Sb", "Sb"],
  "frac_coords": [[0.0000, 0.0000, 0.0000], [0.0000, 0.5000, 0.5000], [0.5000, 0.0000, 0.5000], [0.5000, 0.5000, 0.0000]]
}